Below is crystalline Rb2MnBr6N at its relaxed geometry, with properties calculated at the GGA-PBE level.

Results
* DFT total energy: -34.64 eV/cell
* Fermi-level density of states: 0.00 states/eV/f.u.
* total magnetization: 6.00 μB per formula unit
* ΔE_f (raw): -517 meV per atom
* crystal system: tetragonal
* space group: No. 139

Lattice parameters (Å, degrees): 7.4875 7.4875 7.5895 60.44 60.44 90.00
With the nearest neighbours (Å) after each atom.
Sites, in units of the cell vectors:
N 0.5000 0.5000 0.0000  6 Br 2.79-2.96
Br 0.7639 0.7639 0.0000  1 Mn 2.50, 1 N 2.79
Br 0.7722 0.7722 0.4556  1 Mn 2.48
Br 0.2278 0.2278 0.5444  1 Mn 2.48
Br 0.7639 0.2361 0.0000  1 Mn 2.50, 1 N 2.79
Br 0.2361 0.7639 0.0000  1 Mn 2.50, 1 N 2.79
Br 0.2361 0.2361 0.0000  1 Mn 2.50, 1 N 2.79
Rb 0.2500 0.7500 0.5000  12 Br 3.75-3.80
Rb 0.7500 0.2500 0.5000  12 Br 3.75-3.80
Mn 0.0000 0.0000 0.0000  6 Br 2.48-2.50

Below is crystalline MnSe2BrN at its relaxed geometry, with properties calculated at the GGA-PBE level.

Results
* DFT total energy: -24.11 eV/cell
* Fermi-level density of states: 3.63 states/eV/f.u.
* total magnetization: 1.29 μB per formula unit
* ΔE_f (raw): 405 meV per atom
* relative energy among the computed polymorphs: 0 meV/atom
* crystal system: tetragonal
* space group: No. 123

Lattice parameters (Å, degrees): 5.0436 5.0436 3.4993 90.00 90.00 90.00
With the nearest neighbours (Å) after each atom.
Sites, in units of the cell vectors:
Br 0.5000 0.5000 0.5000  8 Se 3.07
Mn 0.0000 0.0000 0.0000  2 N 1.75
Se 0.0000 0.5000 0.0000  2 Mn 2.52
Se 0.5000 0.0000 0.0000  2 Mn 2.52
N 0.0000 0.0000 0.5000  2 Mn 1.75

Below is crystalline MnSe2BrN at its relaxed geometry, with properties calculated at the GGA-PBE level.

Results
* DFT total energy: -18.84 eV/cell
* Fermi-level density of states: 8.15 states/eV/f.u.
* total magnetization: 0.00 μB per formula unit
* ΔE_f (raw): 1459 meV per atom
* relative energy among the computed polymorphs: 1054 meV/atom
* crystal system: tetragonal
* space group: No. 123

Lattice parameters (Å, degrees): 4.5070 5.0300 4.5070 90.00 90.00 90.00
With the nearest neighbours (Å) after each atom.
Sites, in units of the cell vectors:
Se 0.5000 0.0000 0.0000  2 Mn 2.25
Se 0.0000 0.0000 0.5000  2 Mn 2.25
Br 0.0000 0.5000 0.0000  2 Mn 2.52
N 0.5000 0.5000 0.5000  4 Br 3.19, 8 Se 3.38
Mn 0.0000 0.0000 0.0000  4 Se 2.25, 2 Br 2.52

Below is crystalline MnSe2BrN at its relaxed geometry, with properties calculated at the GGA-PBE level.

Results
* DFT total energy: -19.04 eV/cell
* Fermi-level density of states: 3.31 states/eV/f.u.
* total magnetization: 4.71 μB per formula unit
* ΔE_f (raw): 1420 meV per atom
* relative energy among the computed polymorphs: 1015 meV/atom
* crystal system: tetragonal
* space group: No. 123

Lattice parameters (Å, degrees): 5.2940 5.2940 3.7375 90.00 90.00 90.00
With the nearest neighbours (Å) after each atom.
Sites, in units of the cell vectors:
Se 0.0000 0.5000 0.0000  2 Br 2.65
Se 0.5000 0.0000 0.0000  2 Br 2.65
N 0.0000 0.0000 0.5000  2 Br 1.87
Mn 0.5000 0.5000 0.5000  8 Se 3.24
Br 0.0000 0.0000 0.0000  2 N 1.87

Below is crystalline MnSe2BrN at its relaxed geometry, with properties calculated at the GGA-PBE level.

Results
* DFT total energy: -21.53 eV/cell
* Fermi-level density of states: 2.77 states/eV/f.u.
* total magnetization: 4.78 μB per formula unit
* ΔE_f (raw): 921 meV per atom
* relative energy among the computed polymorphs: 515 meV/atom
* crystal system: tetragonal
* space group: No. 123

Lattice parameters (Å, degrees): 4.5127 4.5127 4.5335 90.00 90.00 90.00
With the nearest neighbours (Å) after each atom.
Sites, in units of the cell vectors:
Se 0.5000 0.0000 0.0000  2 N 2.26
Se 0.0000 0.5000 0.0000  2 N 2.26
Mn 0.5000 0.5000 0.5000  4 Br 3.19, 8 Se 3.20
N 0.0000 0.0000 0.0000  4 Se 2.26, 2 Br 2.27
Br 0.0000 0.0000 0.5000  2 N 2.27

Below is crystalline Ti2MnBrN at its relaxed geometry, with properties calculated at the GGA-PBE level.

Results
* DFT total energy: -28.23 eV/cell
* Fermi-level density of states: 4.79 states/eV/f.u.
* total magnetization: 2.07 μB per formula unit
* ΔE_f (raw): 1346 meV per atom
* crystal system: tetragonal
* space group: No. 123

Lattice parameters (Å, degrees): 4.7705 4.0345 4.7705 90.00 90.00 90.00
With the nearest neighbours (Å) after each atom.
Sites, in units of the cell vectors:
Mn 0.5000 0.5000 0.5000  8 Ti 3.12, 4 N 3.37
N 0.0000 0.5000 0.0000  2 Br 2.02
Br 0.0000 0.0000 0.0000  2 N 2.02
Ti 0.0000 0.0000 0.5000  2 Br 2.39
Ti 0.5000 0.0000 0.0000  2 Br 2.39

Below is crystalline YMnBrN2 at its relaxed geometry, with properties calculated at the GGA-PBE level.

Results
* DFT total energy: -33.62 eV/cell
* Fermi-level density of states: 3.28 states/eV/f.u.
* total magnetization: 0.00 μB per formula unit
* ΔE_f (raw): 67 meV per atom
* crystal system: tetragonal
* space group: No. 123

Lattice parameters (Å, degrees): 3.8590 4.7755 3.8590 90.00 90.00 90.00
With the nearest neighbours (Å) after each atom.
Sites, in units of the cell vectors:
Mn 0.0000 0.0000 0.0000  4 N 1.93
Y 0.5000 0.5000 0.5000  4 Br 2.73
Br 0.0000 0.5000 0.0000  2 Mn 2.39
N 0.0000 0.0000 0.5000  2 Mn 1.93
N 0.5000 0.0000 0.0000  2 Mn 1.93

Below is crystalline NaMnBr6 at its relaxed geometry, with properties calculated at the GGA-PBE level.

Results
* DFT total energy: -25.39 eV/cell
* Fermi-level density of states: 8.66 states/eV/f.u.
* total magnetization: 2.05 μB per formula unit
* ΔE_f (raw): -607 meV per atom
* relative energy among the computed polymorphs: 4 meV/atom
* crystal system: trigonal
* space group: No. 148

Lattice parameters (Å, degrees): 6.8943 6.8978 7.0761 60.83 60.85 60.01
With the nearest neighbours (Å) after each atom.
Sites, in units of the cell vectors:
Mn 0.0000 0.0000 0.0000  6 Br 2.45
Na 0.5000 0.5000 0.5000  6 Br 3.09
Br 0.8089 0.0355 0.7647  1 Mn 2.45
Br 0.6098 0.1900 0.2363  1 Mn 2.45
Br 0.1911 0.9645 0.2353  1 Mn 2.45
Br 0.3902 0.8100 0.7637  1 Mn 2.45
Br 0.0354 0.3906 0.7639  1 Mn 2.45
Br 0.9646 0.6094 0.2361  1 Mn 2.45

Below is crystalline NaMnBr5 at its relaxed geometry, with properties calculated at the GGA-PBE level.

Results
* DFT total energy: -48.64 eV/cell
* Fermi-level density of states: 4.08 states/eV/f.u.
* total magnetization: 3.03 μB per formula unit
* ΔE_f (raw): -781 meV per atom
* relative energy among the computed polymorphs: 0 meV/atom
* crystal system: monoclinic
* space group: No. 15

Lattice parameters (Å, degrees): 7.9338 7.9338 10.6550 103.57 103.57 125.03
With the nearest neighbours (Å) after each atom.
Sites, in units of the cell vectors:
Br 0.2965 0.1277 0.5073  1 Mn 2.46
Br 0.7035 0.8723 0.4927  1 Mn 2.46
Br 0.2903 0.5742 0.5968  1 Mn 2.41
Br 0.7097 0.4258 0.4032  1 Mn 2.41
Br 0.1776 0.3224 0.2500  2 Mn 2.55
Br 0.9258 0.2097 0.9032  1 Mn 2.41
Br 0.3723 0.2035 0.9927  1 Mn 2.46
Br 0.6277 0.7965 0.0073  1 Mn 2.46
Br 0.0742 0.7903 0.0968  1 Mn 2.41
Br 0.8224 0.6776 0.7500  2 Mn 2.55
Na 0.2143 0.2857 0.7500  6 Br 2.98-3.16
Na 0.7857 0.7143 0.2500  6 Br 2.98-3.16
Mn 0.5000 0.5000 0.5000  6 Br 2.41-2.55
Mn 0.0000 0.0000 0.0000  6 Br 2.41-2.55

Below is crystalline NaMnBr3 at its relaxed geometry, with properties calculated at the GGA-PBE level.

Results
* DFT total energy: -16.43 eV/cell
* Fermi-level density of states: 7.34 states/eV/f.u.
* total magnetization: 5.01 μB per formula unit
* ΔE_f (raw): -185 meV per atom
* relative energy among the computed polymorphs: 896 meV/atom
* crystal system: cubic
* space group: No. 221

Lattice parameters (Å, degrees): 5.3116 5.3116 5.3116 90.00 90.00 90.00
With the nearest neighbours (Å) after each atom.
Sites, in units of the cell vectors:
Mn 0.5000 0.5000 0.5000  12 Br 3.76
Br 0.5000 0.0000 0.0000  2 Na 2.66
Br 0.0000 0.0000 0.5000  2 Na 2.66
Br 0.0000 0.5000 0.0000  2 Na 2.66
Na 0.0000 0.0000 0.0000  6 Br 2.66

Below is crystalline NaMnBr at its relaxed geometry, with properties calculated at the GGA-PBE level.

Results
* DFT total energy: -51.83 eV/cell
* Fermi-level density of states: 1.53 states/eV/f.u.
* total magnetization: 4.10 μB per formula unit
* ΔE_f (raw): -265 meV per atom
* relative energy among the computed polymorphs: 106 meV/atom
* crystal system: monoclinic
* space group: No. 8

Lattice parameters (Å, degrees): 12.5218 3.6482 6.3231 90.00 99.61 90.00
With the nearest neighbours (Å) after each atom.
Sites, in units of the cell vectors:
Mn 0.4575 0.5000 0.3313  3 Br 2.80-2.82, 3 Mn 2.81
Mn 0.6078 0.5000 0.0480  3 Mn 2.81
Mn 0.4575 0.0000 0.8313  3 Br 2.80-2.82, 3 Mn 2.81
Mn 0.6078 0.0000 0.5480  3 Mn 2.81
Br 0.9856 0.5000 0.1724  6 Na 2.85-2.92
Br 0.9856 0.0000 0.6724  6 Na 2.85-2.92
Br 0.3066 0.0000 0.1119  3 Mn 2.80-2.82, 3 Na 2.94
Br 0.3066 0.5000 0.6119  3 Mn 2.80-2.82, 3 Na 2.94
Na 0.1409 0.0000 0.3904  6 Br 2.85-2.94
Na 0.8216 0.5000 0.7850  3 Br 2.92
Na 0.8216 0.0000 0.2850  3 Br 2.92
Na 0.1409 0.5000 0.8904  6 Br 2.85-2.94

Below is crystalline Na2MnBr4 at its relaxed geometry, with properties calculated at the GGA-PBE level.

Results
* DFT total energy: -27.09 eV/cell
* Fermi-level density of states: 0.00 states/eV/f.u.
* total magnetization: 5.00 μB per formula unit
* ΔE_f (raw): -1228 meV per atom
* relative energy among the computed polymorphs: 0 meV/atom
* crystal system: orthorhombic
* space group: No. 65

Lattice parameters (Å, degrees): 4.0506 7.3558 7.3558 108.12 90.00 90.00
With the nearest neighbours (Å) after each atom.
Sites, in units of the cell vectors:
Na 0.5000 0.5000 0.0000  6 Br 2.97-2.99
Na 0.5000 0.0000 0.5000  6 Br 2.97-2.99
Mn 0.0000 0.0000 0.0000  6 Br 2.71-2.74
Br 0.0000 0.7725 0.2275  1 Mn 2.71, 4 Na 2.97
Br 0.5000 0.7855 0.7855  2 Mn 2.74, 2 Na 2.99
Br 0.0000 0.2275 0.7725  1 Mn 2.71, 4 Na 2.97
Br 0.5000 0.2145 0.2145  2 Mn 2.74, 2 Na 2.99